(1)
DFT (GGA-PBE) results for crystalline Ho6HgP2S3 at its relaxed geometry.

Unit cell a=3.944 b=8.081 c=8.926 alpha=103.07 beta=102.77 gamma=90.00
Positions (direct):
S 0.168 0.832 0.335
S 0.500 0.500 0.000
S 0.832 0.168 0.665
Ho 0.670 0.577 0.340
Ho 0.330 0.423 0.660
Ho 0.001 0.269 0.003
Ho 0.999 0.731 0.997
Ho 0.673 0.094 0.345
Ho 0.327 0.906 0.655
P 0.167 0.335 0.334
P 0.833 0.665 0.666
Hg 0.500 0.000 0.000

Properties
**Formation energy from raw total energies**: -1.588 eV per atom
**Calculated density**: 8.30 g cm⁻³
**Total DFT energy (no corrections)**: -5.8351 eV/atom


(2)
DFT (GGA-PBE) results for crystalline Ca2TlW at its relaxed geometry.

Unit cell a=8.385 b=8.385 c=6.665 alpha=51.02 beta=51.02 gamma=90.00
Last column: magnetic moment on the atom in μB.
Positions (direct):
Ca 0.375 0.383 0.750  0.02
Ca 0.617 0.125 0.250  0.01
Ca 0.875 0.867 0.750  0.02
Ca 0.133 0.625 0.250  0.01
Tl 0.750 0.250 0.500  -0.05
Tl 0.000 0.000 0.000  -0.05
W 0.500 0.500 0.000  1.53
W 0.250 0.750 0.500  1.52

Properties
**Calculated density**: 7.27 g cm⁻³
**ΔE_f**: 0.98 eV per atom
**ΔE to the lowest computed polymorph**: 489 meV/atom
**Total DFT energy (no corrections)**: -3.8515 eV/atom


(3)
DFT (GGA-PBE) results for crystalline Ba2BeH at its relaxed geometry.

Unit cell a=5.467 b=5.467 c=5.467 alpha=60.00 beta=60.00 gamma=60.00
Last column: magnetic moment on the atom in μB.
Positions (direct):
Be 0.500 0.500 0.500  0.09
Ba 0.250 0.250 0.250  0.07
Ba 0.750 0.750 0.750  0.07
H 0.000 0.000 0.000  0.00

Properties
**Calculated density**: 4.09 g cm⁻³
**ΔE to the lowest computed polymorph**: 116 meV/atom
**Total DFT energy (no corrections)**: -2.3320 eV/atom


(4)
DFT (GGA-PBE) results for crystalline LaFeW2 at its relaxed geometry.

Unit cell a=4.932 b=4.932 c=8.826 alpha=73.78 beta=73.78 gamma=90.00
Last column: magnetic moment on the atom in μB.
Positions (direct):
Fe 0.250 0.750 0.500  0.19
Fe 0.500 0.500 0.000  0.19
W 0.375 0.625 0.750  -0.02
W 0.375 0.125 0.250  -0.01
W 0.875 0.625 0.750  -0.02
W 0.375 0.625 0.250  -0.02
La 0.000 0.000 0.000  0.00
La 0.750 0.250 0.500  0.00

Properties
**Calculated density**: 9.47 g cm⁻³
**ΔE_f**: 1.09 eV per atom
**ΔE to the lowest computed polymorph**: 585 meV/atom
**Total DFT energy (no corrections)**: -8.7389 eV/atom


The lowest calculated density belongs to which entry? Ba2BeH


calculated density of number 3 (Ba2BeH)? 4.09 g cm⁻³